DFT (PBE) results for crystalline Pm3NdSb3 at its relaxed geometry.

Computed properties:
* N(E_F): 1.00 states/eV per atom
* raw formation energy: -1.061 eV per atom
* mass density: 7.402 g/cm³
* energy above the most stable polymorph in this dataset: 0.000 eV/atom

Lattice parameters (Å, degrees): 9.4635 9.4635 9.4635 90.00 90.00 90.00
Atoms (fractional coordinates):
Pm1 0.8201 0.3201 0.1799
Pm2 0.9289 0.9289 0.9289
Pm3 0.8204 0.6796 0.3204
Pm4 0.1799 0.8201 0.3201
Pm5 0.1796 0.1796 0.1796
Pm6 0.3204 0.8204 0.6796
Pm7 0.0711 0.4289 0.5711
Pm8 0.3201 0.1799 0.8201
Pm9 0.6796 0.3204 0.8204
Pm10 0.6799 0.6799 0.6799
Pm11 0.5711 0.0711 0.4289
Pm12 0.4289 0.5711 0.0711
Nd1 0.0704 0.5704 0.9296
Nd2 0.9296 0.0704 0.5704
Nd3 0.4296 0.4296 0.4296
Nd4 0.5704 0.9296 0.0704
Sb1 0.7489 0.6242 0.0003
Sb2 0.8758 0.9997 0.2489
Sb3 0.0003 0.7489 0.6242
Sb4 0.1242 0.4997 0.2511
Sb5 0.2511 0.1242 0.4997
Sb6 0.2489 0.8758 0.9997
Sb7 0.9997 0.2489 0.8758
Sb8 0.3758 0.5003 0.7511
Sb9 0.4997 0.2511 0.1242
Sb10 0.6242 0.0003 0.7489
Sb11 0.7511 0.3758 0.5003
Sb12 0.5003 0.7511 0.3758